Computed, not measured: a relaxed structure of Li6PdAu at the PBE level of DFT.

- Calculated volume: 124 Å³ per cell
- Offset from the most stable computed form: 0.0 meV/atom
- E_tot: -22.631 eV/cell

Cell: 5.6059 5.6059 4.5491 Å, 90.00 90.00 120.00°
With the nearest neighbours (Å) after each atom.
Fractional positions:
Li: 0.0123 0.5062 0.0000  8 Li 2.70-2.91, 2 Au 2.76, 2 Pd 2.80
Li: 0.3147 0.1574 0.5000  8 Li 2.65-2.96, 2 Pd 2.74, 2 Au 2.80
Li: 0.4938 0.5062 0.0000  8 Li 2.70-2.91, 2 Au 2.76, 2 Pd 2.80
Li: 0.4938 0.9877 0.0000  8 Li 2.70-2.91, 2 Au 2.76, 2 Pd 2.80
Li: 0.8426 0.1574 0.5000  8 Li 2.65-2.96, 2 Pd 2.74, 2 Au 2.80
Li: 0.8426 0.6853 0.5000  8 Li 2.65-2.96, 2 Pd 2.74, 2 Au 2.80
Pd: 0.0000 0.0000 0.0000  12 Li 2.74-2.80
Au: 0.3333 0.6667 0.5000  12 Li 2.76-2.80

Computed, not measured: a relaxed structure of CeDy15Er4 at the PBE level of DFT.

- Calculated volume: 625 Å³ per cell
- E_tot: -92.636 eV/cell

Cell: 4.9999 4.9999 25.0017 Å, 90.00 90.00 90.00°
With the nearest neighbours (Å) after each atom.
Fractional positions:
Ce: 0.0000 0.0000 0.0000  12 Dy 3.53-3.54
Dy: 0.0000 0.5000 0.0996  8 Dy 3.53-3.56, 2 Ce 3.53, 2 Er 3.53
Dy: 0.0000 0.5000 0.2998  8 Dy 3.51-3.54, 4 Er 3.54
Dy: 0.0000 0.5000 0.5000  8 Dy 3.54, 4 Er 3.54
Dy: 0.0000 0.5000 0.7002  8 Dy 3.51-3.54, 4 Er 3.54
Dy: 0.0000 0.5000 0.9004  8 Dy 3.53-3.56, 2 Ce 3.53, 2 Er 3.53
Dy: 0.5000 0.0000 0.0996  8 Dy 3.53-3.56, 2 Ce 3.53, 2 Er 3.53
Dy: 0.5000 0.0000 0.2998  8 Dy 3.51-3.54, 4 Er 3.54
Dy: 0.5000 0.0000 0.5000  8 Dy 3.54, 4 Er 3.54
Dy: 0.5000 0.0000 0.7002  8 Dy 3.51-3.54, 4 Er 3.54
Dy: 0.5000 0.0000 0.9004  8 Dy 3.53-3.56, 2 Ce 3.53, 2 Er 3.53
Dy: 0.5000 0.5000 0.0000  8 Dy 3.53, 4 Ce 3.54
Dy: 0.5000 0.5000 0.2011  8 Dy 3.51-3.56, 4 Er 3.54
Dy: 0.5000 0.5000 0.3999  4 Er 3.54, 8 Dy 3.54
Dy: 0.5000 0.5000 0.6001  4 Er 3.54, 8 Dy 3.54
Dy: 0.5000 0.5000 0.7989  8 Dy 3.51-3.56, 4 Er 3.54
Er: 0.0000 0.0000 0.1995  12 Dy 3.53-3.54
Er: 0.0000 0.0000 0.3999  12 Dy 3.54
Er: 0.0000 0.0000 0.6001  12 Dy 3.54
Er: 0.0000 0.0000 0.8005  12 Dy 3.53-3.54

What did we get for size of the total moment? Answer: 0.00 0.05 μB per atom, in the order shown.
What did we get for energy of formation from the pure elements? Answer: -258 56 kJ/mol of formula units, in the order shown.